# PuScSb

A geometry-optimized PuScSb structure (PBE-GGA, the Open Quantum Materials Database).

Properties
For the total magnetic moment, the calculation gives 7.3 μB/f.u. As for the space group: F-43m. Its energy above the most stable polymorph in this dataset is 0 meV/atom.

a = 4.7657 Å, b = 4.7657 Å, c = 4.7657 Å
α = 60.00°, β = 60.00°, γ = 60.00°
Positions (direct):
Pu  0.0000  0.0000  0.0000
Sc  0.2500  0.2500  0.2500
Sb  0.5000  0.5000  0.5000

=====

# PuSiSb

A geometry-optimized PuSiSb structure (PBE-GGA, the Open Quantum Materials Database).

Properties
For the total magnetic moment, the calculation gives 5.7 μB/f.u. As for the space group: F-43m. Its energy above the most stable polymorph in this dataset is 0 meV/atom.

a = 4.7413 Å, b = 4.7413 Å, c = 4.7413 Å
α = 60.00°, β = 60.00°, γ = 60.00°
Positions (direct):
Pu  0.0000  0.0000  0.0000
Si  0.2500  0.2500  0.2500
Sb  0.5000  0.5000  0.5000

=====

# PuSiSb

A geometry-optimized PuSiSb structure (PBE-GGA, the Open Quantum Materials Database).

Properties
For the total magnetic moment, the calculation gives 5.2 μB/f.u. As for the space group: F-43m. Its energy above the most stable polymorph in this dataset is 147 meV/atom.

a = 4.8850 Å, b = 4.8850 Å, c = 4.8850 Å
α = 60.00°, β = 60.00°, γ = 60.00°
Positions (direct):
Pu  0.0000  0.0000  0.0000
Si  0.2500  0.2500  0.2500
Sb  0.7500  0.7500  0.7500

=====

# SmPuSb

A geometry-optimized SmPuSb structure (PBE-GGA, the Open Quantum Materials Database).

Properties
For the total magnetic moment, the calculation gives 7.8 μB/f.u. As for the space group: F-43m. As for the total energy: -23.00 eV/cell.

a = 5.1716 Å, b = 5.1716 Å, c = 5.1716 Å
α = 60.00°, β = 60.00°, γ = 60.00°
Positions (direct):
Sm  0.0000  0.0000  0.0000
Pu  0.7500  0.7500  0.7500
Sb  0.5000  0.5000  0.5000

=====

# SrPuSb

A geometry-optimized SrPuSb structure (PBE-GGA, the Open Quantum Materials Database).

Properties
For the total magnetic moment, the calculation gives 7.0 μB/f.u. As for the space group: F-43m. Its energy above the most stable polymorph in this dataset is 0 meV/atom.

a = 5.4049 Å, b = 5.4049 Å, c = 5.4049 Å
α = 60.00°, β = 60.00°, γ = 60.00°
Positions (direct):
Sr  0.0000  0.0000  0.0000
Pu  0.5000  0.5000  0.5000
Sb  0.7500  0.7500  0.7500

=====

# TbPuSb

A geometry-optimized TbPuSb structure (PBE-GGA, the Open Quantum Materials Database).

Properties
For the total magnetic moment, the calculation gives 7.8 μB/f.u. As for the space group: F-43m. As for the total energy: -22.79 eV/cell.

a = 5.1640 Å, b = 5.1640 Å, c = 5.1640 Å
α = 60.00°, β = 60.00°, γ = 60.00°
Positions (direct):
Tb  0.0000  0.0000  0.0000
Pu  0.7500  0.7500  0.7500
Sb  0.5000  0.5000  0.5000

=====

# Pu3SbTe2

A geometry-optimized Pu3SbTe2 structure (PBE-GGA, the Open Quantum Materials Database).

Properties
For the total magnetic moment, the calculation gives 16.9 μB/f.u. As for the space group: C2/c. As for the total energy: -118.20 eV/cell.

a = 7.6858 Å, b = 7.6858 Å, c = 7.6909 Å
α = 99.62°, β = 99.62°, γ = 119.99°
Positions (direct):
Pu  0.0000  0.5000  0.0000
Pu  0.1636  0.3277  0.4986
Pu  0.3277  0.1636  0.9986
Pu  0.5000  0.0000  0.5000
Pu  0.6723  0.8364  0.0014
Pu  0.8364  0.6723  0.5014
Sb  0.0849  0.9151  0.2500
Sb  0.9151  0.0849  0.7500
Te  0.2518  0.7482  0.7500
Te  0.4171  0.5829  0.2500
Te  0.5829  0.4171  0.7500
Te  0.7482  0.2518  0.2500

=====

# PuSbTe

A geometry-optimized PuSbTe structure (PBE-GGA, the Open Quantum Materials Database).

Properties
For the total magnetic moment, the calculation gives 5.5 μB/f.u. As for the space group: F-43m. As for the total energy: -22.06 eV/cell.

a = 5.1748 Å, b = 5.1748 Å, c = 5.1748 Å
α = 60.00°, β = 60.00°, γ = 60.00°
Positions (direct):
Pu  0.0000  0.0000  0.0000
Sb  0.5000  0.5000  0.5000
Te  0.2500  0.2500  0.2500

=====

# PuTh3Sb4

A geometry-optimized PuTh3Sb4 structure (PBE-GGA, the Open Quantum Materials Database).

Properties
For the total magnetic moment, the calculation gives 5.7 μB/f.u. As for the space group: Cmmm. As for the total energy: -60.00 eV/cell.

a = 7.7867 Å, b = 7.7867 Å, c = 4.4947 Å
α = 90.00°, β = 90.00°, γ = 109.46°
Positions (direct):
Pu  0.0000  0.0000  0.0000
Th  0.0000  0.5000  0.5000
Th  0.5000  0.0000  0.5000
Th  0.5000  0.5000  0.0000
Sb  0.2467  0.2467  0.5000
Sb  0.2484  0.7516  0.0000
Sb  0.7516  0.2484  0.0000
Sb  0.7533  0.7533  0.5000

=====

# PuThSb

A geometry-optimized PuThSb structure (PBE-GGA, the Open Quantum Materials Database).

Properties
For the total magnetic moment, the calculation gives 8.4 μB/f.u. As for the space group: F-43m. As for the total energy: -25.50 eV/cell.

a = 5.0885 Å, b = 5.0885 Å, c = 5.0885 Å
α = 60.00°, β = 60.00°, γ = 60.00°
Positions (direct):
Pu  0.0000  0.0000  0.0000
Th  0.2500  0.2500  0.2500
Sb  0.7500  0.7500  0.7500

=====

# TmPuSb

A geometry-optimized TmPuSb structure (PBE-GGA, the Open Quantum Materials Database).

Properties
For the total magnetic moment, the calculation gives 7.3 μB/f.u. As for the space group: F-43m. Its energy above the most stable polymorph in this dataset is 0 meV/atom.

a = 5.0921 Å, b = 5.0921 Å, c = 5.0921 Å
α = 60.00°, β = 60.00°, γ = 60.00°
Positions (direct):
Tm  0.0000  0.0000  0.0000
Pu  0.7500  0.7500  0.7500
Sb  0.2500  0.2500  0.2500

=====

# PuUSb

A geometry-optimized PuUSb structure (PBE-GGA, the Open Quantum Materials Database).

Properties
For the total magnetic moment, the calculation gives 9.9 μB/f.u. As for the space group: F-43m. Its energy above the most stable polymorph in this dataset is 0 meV/atom.

a = 4.9518 Å, b = 4.9518 Å, c = 4.9518 Å
α = 60.00°, β = 60.00°, γ = 60.00°
Positions (direct):
Pu  0.0000  0.0000  0.0000
U  0.2500  0.2500  0.2500
Sb  0.7500  0.7500  0.7500

=====

# Pu3USb5

A geometry-optimized Pu3USb5 structure (PBE-GGA, the Open Quantum Materials Database).

Properties
For the total magnetic moment, the calculation gives 17.2 μB/f.u. As for the space group: P6_3/mcm. As for the total energy: -159.66 eV/cell.

a = 9.5017 Å, b = 9.5017 Å, c = 6.0975 Å
α = 90.00°, β = 90.00°, γ = 120.00°
Positions (direct):
Pu  0.0000  0.3851  0.2500
Pu  0.0000  0.6149  0.7500
Pu  0.3851  0.0000  0.2500
Pu  0.3851  0.3851  0.7500
Pu  0.6149  0.0000  0.7500
Pu  0.6149  0.6149  0.2500
U  0.0000  0.0000  0.0000
U  0.0000  0.0000  0.5000
Sb  0.0000  0.2798  0.7500
Sb  0.0000  0.7202  0.2500
Sb  0.2798  0.0000  0.7500
Sb  0.2798  0.2798  0.2500
Sb  0.3333  0.6667  0.0000
Sb  0.3333  0.6667  0.5000
Sb  0.6667  0.3333  0.0000
Sb  0.6667  0.3333  0.5000
Sb  0.7202  0.0000  0.2500
Sb  0.7202  0.7202  0.7500

=====

# PuSbW

A geometry-optimized PuSbW structure (PBE-GGA, the Open Quantum Materials Database).

Properties
For the total magnetic moment, the calculation gives 3.3 μB/f.u. As for the space group: F-43m. Its energy above the most stable polymorph in this dataset is 756 meV/atom.

a = 4.6557 Å, b = 4.6557 Å, c = 4.6557 Å
α = 60.00°, β = 60.00°, γ = 60.00°
Positions (direct):
Pu  0.0000  0.0000  0.0000
Sb  0.7500  0.7500  0.7500
W  0.2500  0.2500  0.2500

=====

# PuSbW

A geometry-optimized PuSbW structure (PBE-GGA, the Open Quantum Materials Database).

Properties
For the total magnetic moment, the calculation gives 5.1 μB/f.u. As for the space group: F-43m. Its energy above the most stable polymorph in this dataset is 0 meV/atom.

a = 4.6499 Å, b = 4.6499 Å, c = 4.6499 Å
α = 60.00°, β = 60.00°, γ = 60.00°
Positions (direct):
Pu  0.0000  0.0000  0.0000
Sb  0.5000  0.5000  0.5000
W  0.2500  0.2500  0.2500

=====

# PuZrSb

A geometry-optimized PuZrSb structure (PBE-GGA, the Open Quantum Materials Database).

Properties
For the total magnetic moment, the calculation gives 8.7 μB/f.u. As for the space group: F-43m. As for the total energy: -25.78 eV/cell.

a = 5.0409 Å, b = 5.0409 Å, c = 5.0409 Å
α = 60.00°, β = 60.00°, γ = 60.00°
Positions (direct):
Pu  0.0000  0.0000  0.0000
Zr  0.2500  0.2500  0.2500
Sb  0.7500  0.7500  0.7500

=====

# PuScSe3

A geometry-optimized PuScSe3 structure (PBE-GGA, the Open Quantum Materials Database).

Properties
For the total magnetic moment, the calculation gives 5.0 μB/f.u. As for the space group: Cmcm. As for the total energy: -77.87 eV/cell.

a = 6.6358 Å, b = 6.6358 Å, c = 9.7327 Å
α = 90.00°, β = 90.00°, γ = 145.76°
Positions (direct):
Pu  0.2476  0.7524  0.7500
Pu  0.7524  0.2476  0.2500
Sc  0.5000  0.5000  0.0000
Sc  0.5000  0.5000  0.5000
Se  0.1435  0.8565  0.0605
Se  0.1435  0.8565  0.4395
Se  0.4194  0.5806  0.2500
Se  0.5806  0.4194  0.7500
Se  0.8565  0.1435  0.5605
Se  0.8565  0.1435  0.9395

=====

# SmPuSc

A geometry-optimized SmPuSc structure (PBE-GGA, the Open Quantum Materials Database).

Properties
For the total magnetic moment, the calculation gives 6.7 μB/f.u. As for the space group: F-43m. For the formation enthalpy at 0 K, the calculation gives 764 meV/atom. Its energy above the most stable polymorph in this dataset is 0 meV/atom.

a = 5.1437 Å, b = 5.1437 Å, c = 5.1437 Å
α = 60.00°, β = 60.00°, γ = 60.00°
Positions (direct):
Sm  0.0000  0.0000  0.0000
Pu  0.5000  0.5000  0.5000
Sc  0.7500  0.7500  0.7500

=====

# PuScTa

A geometry-optimized PuScTa structure (PBE-GGA, the Open Quantum Materials Database).

Properties
For the total magnetic moment, the calculation gives 7.9 μB/f.u. As for the space group: F-43m. For the formation enthalpy at 0 K, the calculation gives 1112 meV/atom. Its energy above the most stable polymorph in this dataset is 0 meV/atom.

a = 4.7420 Å, b = 4.7420 Å, c = 4.7420 Å
α = 60.00°, β = 60.00°, γ = 60.00°
Positions (direct):
Pu  0.0000  0.0000  0.0000
Sc  0.7500  0.7500  0.7500
Ta  0.2500  0.2500  0.2500

=====

# TbPuSc

A geometry-optimized TbPuSc structure (PBE-GGA, the Open Quantum Materials Database).

Properties
For the total magnetic moment, the calculation gives 6.9 μB/f.u. As for the space group: F-43m. For the formation enthalpy at 0 K, the calculation gives 751 meV/atom. Its energy above the most stable polymorph in this dataset is 0 meV/atom.

a = 5.2001 Å, b = 5.2001 Å, c = 5.2001 Å
α = 60.00°, β = 60.00°, γ = 60.00°
Positions (direct):
Tb  0.0000  0.0000  0.0000
Pu  0.5000  0.5000  0.5000
Sc  0.7500  0.7500  0.7500